VASP calculation (PBE) on CaRe2NiN after structural relaxation.

Unit cell a=4.750 b=3.934 c=4.750 alpha=90.00 beta=90.00 gamma=90.00
Fractional coordinates of all 5 atoms:
Ni: 0.500 0.500 0.500
Re: 0.000 0.000 0.500
Ca: 0.000 0.000 0.000
N: 0.000 0.500 0.000
Re: 0.500 0.000 0.000

final energy = -4.8387 eV per atom
magnetization = 0.002 μB/cell